Version A
Compound: Eu2MgSb
Source: the Alexandria database
Functional: PBE
Structure: optimized geometry

a b c (Å): 7.862 7.862 7.862
angles (deg): 90.00 90.00 90.00
Atoms (fractional coordinates):
Eu: 0.250 0.250 0.250
Eu: 0.250 0.250 0.750
Eu: 0.250 0.750 0.250
Eu: 0.250 0.750 0.750
Eu: 0.750 0.250 0.250
Eu: 0.750 0.250 0.750
Eu: 0.750 0.750 0.250
Eu: 0.750 0.750 0.750
Mg: 0.000 0.000 0.000
Mg: 0.000 0.500 0.500
Mg: 0.500 0.000 0.500
Mg: 0.500 0.500 0.000
Sb: 0.000 0.000 0.500
Sb: 0.000 0.500 0.000
Sb: 0.500 0.000 0.000
Sb: 0.500 0.500 0.500

Output
DOS at the Fermi energy = 2.5 states/eV/f.u.
calculated volume = 485.88 Å³ per cell

Version B
Compound: Eu2MgSb
Source: the Alexandria database
Functional: PBE
Structure: optimized geometry

a b c (Å): 5.222 5.222 4.447
angles (deg): 90.00 90.00 90.00
Atoms (fractional coordinates):
Eu: 0.000 0.500 0.000
Eu: 0.500 0.000 0.000
Mg: 0.000 0.000 0.500
Sb: 0.500 0.500 0.500

Output
DOS at the Fermi energy = 0.8 states/eV/f.u.
calculated volume = 121.28 Å³ per cell

The relative energies come out as version A 50; version B 0, with values in meV/atom.

Version A
Compound: EuMgSb
Source: the Alexandria database
Functional: PBE
Structure: optimized geometry

a b c (Å): 3.919 3.919 11.304
angles (deg): 90.00 90.00 90.00
Atoms (fractional coordinates):
Eu: 0.000 0.000 0.000
Eu: 0.500 0.500 0.500
Mg: 0.000 0.000 0.702
Mg: 0.500 0.500 0.202
Sb: 0.000 0.000 0.318
Sb: 0.500 0.500 0.818

Output
DOS at the Fermi energy = 6.4 states/eV/f.u.
calculated volume = 173.59 Å³ per cell

Version B
Compound: EuMgSb
Source: the Alexandria database
Functional: PBE
Structure: optimized geometry

a b c (Å): 4.781 4.781 4.445
angles (deg): 90.00 90.00 120.00
Atoms (fractional coordinates):
Eu: 0.000 0.000 0.000
Mg: 0.333 0.667 0.500
Sb: 0.667 0.333 0.500

Output
DOS at the Fermi energy = 8.8 states/eV/f.u.
calculated volume = 88.00 Å³ per cell

The relative energies come out as version A 186; version B 0, with values in meV/atom.

Version A
Compound: Eu2MgSc
Source: the Alexandria database
Functional: PBE
Structure: optimized geometry

a b c (Å): 7.973 7.973 7.973
angles (deg): 90.00 90.00 90.00
Atoms (fractional coordinates):
Eu: 0.250 0.250 0.250
Eu: 0.250 0.250 0.750
Eu: 0.250 0.750 0.250
Eu: 0.250 0.750 0.750
Eu: 0.750 0.250 0.250
Eu: 0.750 0.250 0.750
Eu: 0.750 0.750 0.250
Eu: 0.750 0.750 0.750
Mg: 0.000 0.000 0.000
Mg: 0.000 0.500 0.500
Mg: 0.500 0.000 0.500
Mg: 0.500 0.500 0.000
Sc: 0.000 0.000 0.500
Sc: 0.000 0.500 0.000
Sc: 0.500 0.000 0.000
Sc: 0.500 0.500 0.500

Output
DOS at the Fermi energy = 4.9 states/eV/f.u.
calculated volume = 506.76 Å³ per cell

Version B
Compound: Eu2MgSc
Source: the Alexandria database
Functional: PBE
Structure: optimized geometry

a b c (Å): 3.418 3.418 36.725
angles (deg): 90.00 90.00 120.00
Atoms (fractional coordinates):
Eu: 0.000 0.000 0.086
Eu: 0.000 0.000 0.914
Eu: 0.333 0.667 0.580
Eu: 0.333 0.667 0.753
Eu: 0.667 0.333 0.247
Eu: 0.667 0.333 0.420
Mg: 0.000 0.000 0.500
Mg: 0.333 0.667 0.167
Mg: 0.667 0.333 0.833
Sc: 0.000 0.000 0.000
Sc: 0.333 0.667 0.667
Sc: 0.667 0.333 0.333

Output
DOS at the Fermi energy = 5.0 states/eV/f.u.
calculated volume = 371.52 Å³ per cell

The relative energies come out as version A 0; version B 148, with values in meV/atom.

Version A
Compound: SmEuMg2
Source: the Alexandria database
Functional: PBE
Structure: optimized geometry

a b c (Å): 7.846 7.846 7.846
angles (deg): 90.00 90.00 90.00
Atoms (fractional coordinates):
Sm: 0.000 0.000 0.000
Sm: 0.000 0.500 0.500
Sm: 0.500 0.000 0.500
Sm: 0.500 0.500 0.000
Eu: 0.000 0.000 0.500
Eu: 0.000 0.500 0.000
Eu: 0.500 0.000 0.000
Eu: 0.500 0.500 0.500
Mg: 0.250 0.250 0.250
Mg: 0.250 0.250 0.750
Mg: 0.250 0.750 0.250
Mg: 0.250 0.750 0.750
Mg: 0.750 0.250 0.250
Mg: 0.750 0.250 0.750
Mg: 0.750 0.750 0.250
Mg: 0.750 0.750 0.750

Output
DOS at the Fermi energy = 7.4 states/eV/f.u.
calculated volume = 482.98 Å³ per cell

Version B
Compound: SmEuMg2
Source: the Alexandria database
Functional: PBE
Structure: optimized geometry

a b c (Å): 3.929 3.929 7.852
angles (deg): 90.00 90.00 90.00
Atoms (fractional coordinates):
Sm: 0.000 0.000 0.000
Eu: 0.000 0.000 0.500
Mg: 0.500 0.500 0.234
Mg: 0.500 0.500 0.766

Output
DOS at the Fermi energy = 6.7 states/eV/f.u.
calculated volume = 121.18 Å³ per cell

The relative energies come out as version A 17; version B 0, with values in meV/atom.

Version A
Compound: Sr2EuMg
Source: the Alexandria database
Functional: PBE
Structure: optimized geometry

a b c (Å): 4.111 4.111 10.325
angles (deg): 90.00 90.00 90.00
Atoms (fractional coordinates):
Sr: 0.000 0.000 0.207
Sr: 0.000 0.000 0.793
Eu: 0.500 0.500 0.500
Mg: 0.500 0.500 0.000

Output
DOS at the Fermi energy = 5.0 states/eV/f.u.
calculated volume = 174.53 Å³ per cell

Version B
Compound: Sr2EuMg
Source: the Alexandria database
Functional: PBE
Structure: optimized geometry

a b c (Å): 3.975 3.975 41.463
angles (deg): 90.00 90.00 120.00
Atoms (fractional coordinates):
Sr: 0.000 0.000 0.085
Sr: 0.000 0.000 0.915
Sr: 0.333 0.667 0.581
Sr: 0.333 0.667 0.752
Sr: 0.667 0.333 0.248
Sr: 0.667 0.333 0.419
Eu: 0.000 0.000 0.500
Eu: 0.333 0.667 0.167
Eu: 0.667 0.333 0.833
Mg: 0.000 0.000 0.000
Mg: 0.333 0.667 0.667
Mg: 0.667 0.333 0.333

Output
DOS at the Fermi energy = 4.6 states/eV/f.u.
calculated volume = 567.32 Å³ per cell

The relative energies come out as version A 0; version B 257, with values in meV/atom.

Version A
Compound: SrEu2Mg
Source: the Alexandria database
Functional: PBE
Structure: optimized geometry

a b c (Å): 4.076 4.076 9.823
angles (deg): 90.00 90.00 90.00
Atoms (fractional coordinates):
Sr: 0.000 0.000 0.000
Eu: 0.500 0.500 0.301
Eu: 0.500 0.500 0.699
Mg: 0.000 0.000 0.500

Output
DOS at the Fermi energy = 17.4 states/eV/f.u.
calculated volume = 163.16 Å³ per cell

Version B
Compound: SrEu2Mg
Source: the Alexandria database
Functional: PBE
Structure: optimized geometry

a b c (Å): 5.332 5.332 5.651
angles (deg): 90.00 90.00 90.00
Atoms (fractional coordinates):
Sr: 0.000 0.000 0.000
Eu: 0.000 0.500 0.500
Eu: 0.500 0.000 0.500
Mg: 0.500 0.500 0.000

Output
DOS at the Fermi energy = 3.8 states/eV/f.u.
calculated volume = 160.66 Å³ per cell

Version C
Compound: SrEu2Mg
Source: the Alexandria database
Functional: PBE
Structure: optimized geometry

a b c (Å): 8.589 8.589 8.589
angles (deg): 90.00 90.00 90.00
Atoms (fractional coordinates):
Sr: 0.000 0.000 0.000
Sr: 0.000 0.500 0.500
Sr: 0.500 0.000 0.500
Sr: 0.500 0.500 0.000
Eu: 0.250 0.250 0.250
Eu: 0.250 0.250 0.750
Eu: 0.250 0.750 0.250
Eu: 0.250 0.750 0.750
Eu: 0.750 0.250 0.250
Eu: 0.750 0.250 0.750
Eu: 0.750 0.750 0.250
Eu: 0.750 0.750 0.750
Mg: 0.000 0.000 0.500
Mg: 0.000 0.500 0.000
Mg: 0.500 0.000 0.000
Mg: 0.500 0.500 0.500

Output
DOS at the Fermi energy = 17.9 states/eV/f.u.
calculated volume = 633.60 Å³ per cell

The relative energies come out as version A 0; version B 57; version C 79, with values in meV/atom.

Version A
Compound: Tb2EuMg
Source: the Alexandria database
Functional: PBE
Structure: optimized geometry

a b c (Å): 3.602 3.602 34.321
angles (deg): 90.00 90.00 120.00
Atoms (fractional coordinates):
Tb: 0.000 0.000 0.243
Tb: 0.000 0.000 0.757
Tb: 0.333 0.667 0.423
Tb: 0.333 0.667 0.910
Tb: 0.667 0.333 0.090
Tb: 0.667 0.333 0.577
Eu: 0.000 0.000 0.000
Eu: 0.333 0.667 0.667
Eu: 0.667 0.333 0.333
Mg: 0.000 0.000 0.500
Mg: 0.333 0.667 0.167
Mg: 0.667 0.333 0.833

Output
DOS at the Fermi energy = 4.4 states/eV/f.u.
calculated volume = 385.63 Å³ per cell

Version B
Compound: Tb2EuMg
Source: the Alexandria database
Functional: PBE
Structure: optimized geometry

a b c (Å): 3.774 3.774 8.940
angles (deg): 90.00 90.00 90.00
Atoms (fractional coordinates):
Tb: 0.000 0.000 0.206
Tb: 0.000 0.000 0.794
Eu: 0.500 0.500 0.500
Mg: 0.500 0.500 0.000

Output
DOS at the Fermi energy = 3.5 states/eV/f.u.
calculated volume = 127.31 Å³ per cell

Version C
Compound: Tb2EuMg
Source: the Alexandria database
Functional: PBE
Structure: optimized geometry

a b c (Å): 7.917 7.917 7.917
angles (deg): 90.00 90.00 90.00
Atoms (fractional coordinates):
Tb: 0.250 0.250 0.250
Tb: 0.250 0.250 0.750
Tb: 0.250 0.750 0.250
Tb: 0.250 0.750 0.750
Tb: 0.750 0.250 0.250
Tb: 0.750 0.250 0.750
Tb: 0.750 0.750 0.250
Tb: 0.750 0.750 0.750
Eu: 0.000 0.000 0.000
Eu: 0.000 0.500 0.500
Eu: 0.500 0.000 0.500
Eu: 0.500 0.500 0.000
Mg: 0.000 0.000 0.500
Mg: 0.000 0.500 0.000
Mg: 0.500 0.000 0.000
Mg: 0.500 0.500 0.500

Output
DOS at the Fermi energy = 3.2 states/eV/f.u.
calculated volume = 496.28 Å³ per cell

The relative energies come out as version A 54; version B 0; version C 60, with values in meV/atom.

Version A
Compound: EuThMg
Source: the Alexandria database
Functional: PBE
Structure: optimized geometry

a b c (Å): 3.535 3.535 8.805
angles (deg): 90.00 90.00 120.00
Atoms (fractional coordinates):
Eu: 0.000 0.000 0.000
Th: 0.667 0.333 0.355
Mg: 0.333 0.667 0.673

Output
DOS at the Fermi energy = 3.0 states/eV/f.u.
calculated volume = 95.28 Å³ per cell

Version B
Compound: EuThMg
Source: the Alexandria database
Functional: PBE
Structure: optimized geometry

a b c (Å): 3.597 3.597 14.771
angles (deg): 90.00 90.00 90.00
Atoms (fractional coordinates):
Eu: 0.000 0.000 0.000
Eu: 0.500 0.500 0.500
Th: 0.000 0.000 0.318
Th: 0.500 0.500 0.818
Mg: 0.000 0.000 0.664
Mg: 0.500 0.500 0.164

Output
DOS at the Fermi energy = 4.5 states/eV/f.u.
calculated volume = 191.07 Å³ per cell

The relative energies come out as version A 17; version B 0, with values in meV/atom.